Here is a relaxed structure of WSIO2 from Alexandria via LeMat-Bulk. Energies are from GGA+U.

Output
magnetization: 0.84 μB per atom
space group: P4/mmm (123)
E: -3.78 eV/atom

a = 3.991 Å, b = 3.991 Å, c = 5.511 Å
α = 90.00°, β = 90.00°, γ = 90.00°
Site moments in Bohr magnetons follow the coordinates.
Sites, in units of the cell vectors:
I1 0.000 0.000 0.500  -0.03
S1 0.000 0.000 0.000  0.01
O1 0.000 0.500 0.000  0.03
O2 0.500 0.000 0.000  0.03
W1 0.500 0.500 0.500  3.54